1.
PBE Ac6Pr8Nd, optimized geometry; space group = R-3 (148); energy of formation from the pure elements = 105 meV per atom
1.0
8.367 0.000 4.818
2.796 7.886 4.818
0.242 0.171 9.252
Ac Pr Nd
6 8 1
Direct
0.091 0.542 0.127
0.759 0.909 0.873
0.458 0.759 0.873
0.542 0.241 0.127
0.241 0.091 0.127
0.909 0.458 0.873
0.888 0.294 0.580
0.761 0.112 0.420
0.706 0.761 0.420
0.425 0.425 0.725
0.575 0.575 0.275
0.294 0.239 0.580
0.239 0.888 0.580
0.112 0.706 0.420
0.000 0.000 0.000


2.
PBE Li6NiPt, optimized geometry; space group = P-1 (2); energy of formation from the pure elements = -136 meV per atom
1.0
-6.505 1.086 -1.763
-2.102 -1.472 -6.327
-3.547 -2.725 -1.896
Li Ni Pt
6 1 1
Direct
0.000 0.500 0.753
0.748 0.000 0.752
0.500 0.252 0.247
0.252 0.000 0.248
0.000 0.500 0.247
0.500 0.748 0.753
0.000 0.000 0.000
0.500 0.500 0.500


3.
PBE CsReRu2Rh, optimized geometry; space group = P4/mmm (123); energy of formation from the pure elements = 3288 meV per atom
1.0
4.842 0.000 0.000
0.000 4.824 0.000
0.000 0.000 4.842
Cs Re Rh Ru
1 1 1 2
Direct
0.000 0.000 0.000
0.500 0.500 0.500
0.000 0.500 0.000
0.000 0.000 0.500
0.500 0.000 0.000


4.
PBE SmLuIrPt, optimized geometry; space group = F-43m (216); energy of formation from the pure elements = -983 meV per atom
1.0
4.899 0.000 0.000
2.449 4.242 0.000
2.449 1.414 4.000
Ir Lu Sm Pt
1 1 1 1
Direct
0.250 0.250 0.250
0.000 0.000 0.000
0.500 0.500 0.500
0.750 0.750 0.750


5.
PBE PrSc3Au4O12, optimized geometry; space group = R32 (155); E_form (uncorrected) = -1.44 eV/atom
1.0
7.004 -0.096 -0.134
-1.781 6.774 -0.134
-1.781 -2.277 6.381
Pr Sc Au O
1 3 4 12
Direct
0.000 0.000 0.000
0.568 0.432 0.000
0.432 0.000 0.568
0.000 0.568 0.432
0.909 0.091 0.500
0.091 0.500 0.909
0.500 0.909 0.091
0.500 0.500 0.500
0.500 0.321 0.679
0.904 0.500 0.096
0.096 0.904 0.500
0.500 0.096 0.904
0.328 0.009 0.251
0.251 0.328 0.009
0.009 0.251 0.328
0.672 0.749 0.991
0.991 0.672 0.749
0.749 0.991 0.672
0.679 0.500 0.321
0.321 0.679 0.500


6.
PBE V2Pd12Au5, optimized geometry; space group = C2/m (12); energy of formation from the pure elements = 76 meV per atom
1.0
-2.482 -1.152 -5.842
6.779 -6.933 2.048
-5.929 -0.249 2.568
V Pd Au
2 12 5
Direct
0.733 0.000 0.000
0.267 0.000 0.000
0.091 0.182 0.285
0.122 0.703 0.907
0.581 0.703 0.907
0.160 0.747 0.376
0.586 0.747 0.376
0.516 0.033 0.730
0.484 0.967 0.270
0.840 0.253 0.624
0.414 0.253 0.624
0.878 0.297 0.093
0.419 0.297 0.093
0.909 0.818 0.715
0.265 0.530 0.478
0.237 0.474 0.970
0.000 0.000 0.500
0.763 0.526 0.030
0.735 0.470 0.522


7.
PBE Ta2PIr, optimized geometry; space group = Pmmm (47); energy of formation from the pure elements = -340 meV per atom
1.0
-1.613 -1.443 -1.912
-1.171 -2.496 2.871
-4.224 3.255 1.107
Ta P Ir
2 1 1
Direct
0.000 0.000 0.747
0.000 0.000 0.253
0.500 0.500 0.500
0.500 0.500 0.000


8.
PBE CuGeAu2O, optimized geometry; space group = P4/mmm (123); E_form (uncorrected) = 0.25 eV/atom
1.0
-0.961 -2.635 -3.879
3.562 0.073 -0.932
0.744 -3.995 2.530
Ge Au O Cu
1 2 1 1
Direct
0.500 0.500 0.500
0.000 0.000 0.500
0.500 0.000 0.000
0.000 0.000 0.000
0.000 0.500 0.000


So what do the calculations give for volume? Going down the list: 39.8 14.1 22.6 20.8 14.9 17.2 15.7 16.9 Å³/atom.
So what do the calculations give for spin magnetization? Going down the list: 0.00 0.00 5.04 0.00 1.67 0.00 0.00 0.00 μB per formula unit.